w) TlSbAu3 | GGA-PBE | relaxed

POSCAR file:
```
TlSbAu3
1.0
5.304 0.000 0.000
0.000 5.304 0.000
0.000 0.000 5.304
Tl Sb Au
1 1 3
Cartesian
0.000 0.000 0.000 Tl
2.652 2.652 2.652 Sb
0.000 2.652 2.652 Au
2.652 0.000 2.652 Au
2.652 2.652 0.000 Au
```

DOS at the Fermi energy	0.3593	states/eV per atom
size of the total moment	0.0	μB per cell

x) TlSbAu3 | GGA-PBE | relaxed

POSCAR file:
```
TlSbAu3
1.0
5.229 0.000 0.000
0.000 5.229 0.000
0.000 0.000 5.229
Tl Sb Au
1 1 3
Cartesian
0.000 0.000 0.000 Tl
2.614 2.614 2.614 Sb
0.000 0.000 2.614 Au
0.000 2.614 0.000 Au
2.614 0.000 0.000 Au
```

DOS at the Fermi energy	0.5556	states/eV per atom
size of the total moment	0.0	μB per cell

Relative to the most stable one, in kJ/mol of atoms, the structures come out at w) 0.0; x) 58.8.